Crystalline CrB3O at its relaxed geometry. Source: Alexandria, functional PBE+U.

Output
- Crystal system: cubic
- DOS at the Fermi energy: 3.25 states/eV per cell
- Total energy: -4.90 eV per atom

Cell and atoms, written as CIF:
```
data_CrB3O
_chemical_formula_sum 'Cr1 B3 O1'
_cell_length_a 3.422
_cell_length_b 3.422
_cell_length_c 3.422
_cell_angle_alpha 90.00
_cell_angle_beta 90.00
_cell_angle_gamma 90.00
_space_group_name_H-M_alt 'P m -3 m'
_space_group_IT_number 221
_space_group_name_Hall '-P 4 2 3'
loop_
_atom_site_label
_atom_site_fract_x
_atom_site_fract_y
_atom_site_fract_z
Cr1 0.000 0.000 0.000
B1 0.000 0.500 0.500
O1 0.500 0.500 0.500
```